(1)
# ZnP3

ZnP3 after structural relaxation (PBE-GGA, Alexandria).

a = 2.6002 Å, b = 2.6002 Å, c = 10.3795 Å
α = 90.00°, β = 90.00°, γ = 120.00°
Last column: nearest neighbours and their distance in Å.
Space group P-6m2 (No. 187)
Asymmetric unit:
Zn1 0.0000 0.0000 0.0000 [1 per cell]  6 Zn 2.60
P1 0.0000 0.0000 0.5000 [1 per cell]  6 P 2.60
P2 0.3333 0.6667 0.2553 [2 per cell]  6 P 2.60

- ΔE to the lowest computed polymorph: 73.0 kJ/mol of atoms
- Energy: -3.7438 eV/atom
- Total moment: 0.00 μB/f.u.

=====

(2)
# ZnP3

ZnP3 after structural relaxation (PBE-GGA, Alexandria).

a = 7.6285 Å, b = 7.6285 Å, c = 4.0934 Å
α = 90.00°, β = 90.00°, γ = 120.00°
Last column: nearest neighbours and their distance in Å.
Space group P6_3/mmc (No. 194)
Asymmetric unit:
Zn1 0.3333 0.6667 0.2500 [2 per cell]  6 P 2.44
P1 0.2331 0.4661 0.7500 [6 per cell]  2 P 2.30, 2 Zn 2.44

- ΔE to the lowest computed polymorph: 57.7 kJ/mol of atoms
- Energy: -3.9026 eV/atom
- Total moment: 0.00 μB/f.u.

=====

(3)
# ZnP3

ZnP3 after structural relaxation (PBE-GGA, Alexandria).

a = 2.6690 Å, b = 10.2360 Å, c = 5.1345 Å
α = 90.00°, β = 90.00°, γ = 90.00°
Last column: nearest neighbours and their distance in Å.
Space group Imm2 (No. 44)
Asymmetric unit:
Zn1 0.0000 0.0000 0.0000 [2 per cell]  6 P 2.61, 2 Zn 2.67
P1 0.0000 0.3340 0.2151 [4 per cell]  1 P 2.22
P2 0.0000 0.5000 0.9367 [2 per cell]  2 P 2.22

- ΔE to the lowest computed polymorph: 40.6 kJ/mol of atoms
- Energy: -4.0793 eV/atom
- Total moment: 0.00 μB/f.u.

=====

(4)
# Zn5P3

Zn5P3 after structural relaxation (PBE-GGA, Alexandria).

a = 6.9529 Å, b = 6.9529 Å, c = 7.1127 Å
α = 90.00°, β = 90.00°, γ = 120.00°
Last column: nearest neighbours and their distance in Å.
Space group P6_3/mcm (No. 193)
Asymmetric unit:
Zn1 0.0000 0.3069 0.2500 [6 per cell]  3 P 2.32-2.36
Zn2 0.3333 0.6667 0.0000 [4 per cell]  6 P 2.87, 6 Zn 3.00
P1 0.0000 0.3541 0.7500 [6 per cell]  3 Zn 2.32-2.36

- ΔE to the lowest computed polymorph: 0.0 kJ/mol of atoms
- Energy: -2.7296 eV/atom
- Total moment: 0.00 μB/f.u.

=====

(5)
# ZnP3

ZnP3 after structural relaxation (PBE-GGA, Alexandria).

a = 2.6831 Å, b = 2.6831 Å, c = 8.2725 Å
α = 90.00°, β = 90.00°, γ = 90.00°
Last column: nearest neighbours and their distance in Å.
Space group P4/mmm (No. 123)
Asymmetric unit:
Zn1 0.0000 0.0000 0.0000 [1 per cell]  4 Zn 2.68, 8 P 2.84
P1 0.0000 0.0000 0.5000 [1 per cell]  12 P 2.68-2.77
P2 0.5000 0.5000 0.2552 [2 per cell]  8 P 2.68-2.77, 4 Zn 2.84

- ΔE to the lowest computed polymorph: 73.9 kJ/mol of atoms
- Energy: -3.7341 eV/atom
- Total moment: 0.00 μB/f.u.

=====

(6)
# Zn2P

Zn2P after structural relaxation (PBE-GGA, Alexandria).

a = 3.4908 Å, b = 11.8841 Å, c = 4.8162 Å
α = 90.00°, β = 90.00°, γ = 90.00°
Last column: nearest neighbours and their distance in Å.
Space group Cmcm (No. 63)
Asymmetric unit:
Zn1 0.0000 0.0469 0.2500 [4 per cell]  2 P 2.45, 2 Zn 2.65
Zn2 0.0000 0.3565 0.2500 [4 per cell]  4 P 2.47-2.62
P1 0.0000 0.3084 0.7500 [4 per cell]  6 Zn 2.45-2.62

- Energy: -2.5095 eV/atom
- Total moment: 0.00 μB/f.u.

=====

(7)
# Zn2P

Zn2P after structural relaxation (PBE-GGA, Alexandria).

a = 5.5057 Å, b = 5.5057 Å, c = 8.4817 Å
α = 90.00°, β = 90.00°, γ = 120.00°
Last column: nearest neighbours and their distance in Å.
Space group P6_3/mmc (No. 194)
Asymmetric unit:
Zn1 0.0000 0.0000 0.0000 [2 per cell]  6 Zn 2.64
Zn2 0.1646 0.3291 0.2500 [6 per cell]  2 P 2.42, 2 Zn 2.64
P1 0.3333 0.6667 0.0368 [4 per cell]  3 Zn 2.42

- Energy: -2.3411 eV/atom
- Total moment: 0.00 μB/f.u.

=====

(8)
# ZnP2

ZnP2 after structural relaxation (PBE-GGA, Alexandria).

a = 2.4859 Å, b = 4.6911 Å, c = 9.5334 Å
α = 90.00°, β = 90.00°, γ = 90.00°
Last column: nearest neighbours and their distance in Å.
Space group Immm (No. 71)
Asymmetric unit:
Zn1 0.0000 0.0000 0.0000 [2 per cell]  2 Zn 2.49
P1 0.0000 0.0000 0.3844 [4 per cell]  1 P 2.20

- Energy: -3.6302 eV/atom
- Total moment: 0.00 μB/f.u.

=====

(9)
# ZnP3

ZnP3 after structural relaxation (PBE-GGA, Alexandria).

a = 3.9402 Å, b = 3.9402 Å, c = 3.9402 Å
α = 90.00°, β = 90.00°, γ = 90.00°
Last column: nearest neighbours and their distance in Å.
Space group Pm-3m (No. 221)
Asymmetric unit:
Zn1 0.0000 0.0000 0.0000 [1 per cell]  12 P 2.79
P1 0.0000 0.5000 0.5000 [3 per cell]  4 Zn 2.79, 8 P 2.79

- ΔE to the lowest computed polymorph: 76.1 kJ/mol of atoms
- Energy: -3.7119 eV/atom
- Total moment: 0.00 μB/f.u.

=====

(10)
# ZnP3

ZnP3 after structural relaxation (PBE-GGA, Alexandria).

a = 4.2122 Å, b = 7.3047 Å, c = 4.9269 Å
α = 90.00°, β = 90.00°, γ = 90.00°
Last column: nearest neighbours and their distance in Å.
Space group Pmmn (No. 59, origin choice 2)
Asymmetric unit:
Zn1 0.2500 0.2500 0.0819 [2 per cell]  4 P 2.41
P1 0.2500 0.0027 0.4051 [4 per cell]  3 P 2.21-2.30, 1 Zn 2.41
P2 0.2500 0.7500 0.1577 [2 per cell]  2 P 2.21, 2 Zn 2.41

- ΔE to the lowest computed polymorph: 0.0 kJ/mol of atoms
- Energy: -4.5002 eV/atom
- Total moment: 0.00 μB/f.u.

=====

(11)
# ZnP3

ZnP3 after structural relaxation (PBE-GGA, Alexandria).

a = 6.9095 Å, b = 13.5662 Å, c = 3.1931 Å
α = 90.00°, β = 90.00°, γ = 90.00°
Last column: nearest neighbours and their distance in Å.
Space group Cmcm (No. 63)
Asymmetric unit:
Zn1 0.0000 0.0760 0.2500 [4 per cell]  2 P 2.47, 2 Zn 2.61
P1 0.0000 0.4476 0.2500 [4 per cell]  2 P 2.14
P2 0.2329 0.3030 0.7500 [8 per cell]  2 P 2.16

- ΔE to the lowest computed polymorph: 26.6 kJ/mol of atoms
- Energy: -4.2242 eV/atom
- Total moment: 0.00 μB/f.u.

=====

(12)
# ZnP3

ZnP3 after structural relaxation (PBE-GGA, Alexandria).

a = 6.2057 Å, b = 6.2057 Å, c = 6.2057 Å
α = 90.00°, β = 90.00°, γ = 90.00°
Last column: nearest neighbours and their distance in Å.
Space group Fm-3m (No. 225)
Asymmetric unit:
Zn1 0.0000 0.0000 0.0000 [4 per cell]  8 P 2.69
P1 0.0000 0.0000 0.5000 [4 per cell]  8 P 2.69
P2 0.2500 0.2500 0.2500 [8 per cell]  4 Zn 2.69, 4 P 2.69

- ΔE to the lowest computed polymorph: 70.0 kJ/mol of atoms
- Energy: -3.7747 eV/atom
- Total moment: 0.00 μB/f.u.